Material: Rb3ZnF5
Method: DFT, PBE
State: relaxed

It has space group I4/mcm (No. 140), with a = 7.6449 Å, b = 7.6449 Å, c = 12.5388 Å, α = 90.00°, β = 90.00° and γ = 90.00°. Symmetry generates all atoms from Rb at (0.0000, 0.0000, 0.2500), Rb at (0.1772, 0.3228, 0.0000), Zn at (0.0000, 0.5000, 0.2500), F at (0.0000, 0.0000, 0.0000) and F at (0.1395, 0.3605, 0.3453).

Its total energy is -4.098 eV per atom. The formation energy (no corrections) is -2.59 eV per atom. Its calculated volume is 733 Å³/cell.